Record 1
Computed, not measured: crystalline Pu2Ga12Au at its relaxed geometry at the PBE level of DFT.

## Properties
Density in g/cm3: 8.56
Total energy in Ha/atom: -0.17598
Magnetization in μB/atom: 0.74

a = 6.1621 Å, b = 6.1621 Å, c = 15.5564 Å
α = 90.00°, β = 90.00°, γ = 90.00°
Last column: nearest neighbours and their distance in Å.
Fractional positions:
Pu  0.5000  0.0000  0.7542  14 Ga 3.19-3.46
Ga  0.1706  0.6706  0.5698  3 Ga 2.58-2.63
Ga  0.6706  0.8294  0.5698  3 Ga 2.58-2.63
Ga  0.3294  0.8294  0.4302  3 Ga 2.58-2.63
Ga  0.8294  0.6706  0.4302  3 Ga 2.58-2.63
Ga  0.0000  0.0000  0.1902  5 Ga 2.43-2.63
Ga  0.2500  0.2500  0.0959  2 Ga 2.63, 2 Au 2.64
Ga  0.3294  0.1706  0.5698  3 Ga 2.58-2.63
Ga  0.2500  0.7500  0.0959  2 Ga 2.63, 2 Au 2.64
Ga  0.5000  0.5000  0.3466  5 Ga 2.43-2.63
Ga  0.0000  0.0000  0.6534  5 Ga 2.43-2.63
Ga  0.2500  0.2500  0.9041  2 Ga 2.63, 2 Au 2.64
Pu  0.0000  0.5000  0.2458  14 Ga 3.19-3.46
Ga  0.0000  0.0000  0.8098  5 Ga 2.43-2.63
Ga  0.5000  0.5000  0.8098  5 Ga 2.43-2.63
Ga  0.7500  0.2500  0.9041  2 Ga 2.63, 2 Au 2.64
Ga  0.7500  0.2500  0.0959  2 Ga 2.63, 2 Au 2.64
Au  0.0000  0.5000  0.0000  8 Ga 2.64
Ga  0.5000  0.5000  0.1902  5 Ga 2.43-2.63
Ga  0.5000  0.5000  0.6534  5 Ga 2.43-2.63
Ga  0.7500  0.7500  0.9041  2 Ga 2.63, 2 Au 2.64
Pu  0.0000  0.5000  0.7542  14 Ga 3.19-3.46
Pu  0.5000  0.0000  0.2458  14 Ga 3.19-3.46
Ga  0.6706  0.1706  0.4302  3 Ga 2.58-2.63
Ga  0.7500  0.7500  0.0959  2 Ga 2.63, 2 Au 2.64
Ga  0.2500  0.7500  0.9041  2 Ga 2.63, 2 Au 2.64
Ga  0.0000  0.0000  0.3466  5 Ga 2.43-2.63
Au  0.5000  0.0000  0.0000  8 Ga 2.64
Ga  0.1706  0.3294  0.4302  3 Ga 2.58-2.63
Ga  0.8294  0.3294  0.5698  3 Ga 2.58-2.63


Record 2
Computed, not measured: crystalline Pu2Ga3SbAu4 at its relaxed geometry at the PBE level of DFT.

## Properties
Energy relative to the elements, uncorrected in eV per atom: -0.3592
Density in g/cm3: 12.24
Total energy in Ha/atom: -0.21523
Magnetization in μB/atom: 1.14

a = 4.4045 Å, b = 4.4045 Å, c = 11.2369 Å
α = 90.00°, β = 90.00°, γ = 90.00°
Last column: nearest neighbours and their distance in Å.
Fractional positions:
Pu  0.5000  0.0000  0.2342  6 Ga 3.34-3.71, 8 Au 3.37-3.43, 2 Sb 3.71
Ga  0.5000  0.0000  0.8736  5 Au 2.49-2.62
Pu  0.0000  0.5000  0.7658  6 Ga 3.34-3.71, 8 Au 3.37-3.43, 2 Sb 3.71
Au  0.0000  0.5000  0.3480  3 Ga 2.49-2.79, 2 Sb 2.79
Sb  0.5000  0.5000  0.5000  4 Au 2.79, 4 Ga 3.11
Au  0.5000  0.0000  0.6520  3 Ga 2.49-2.79, 2 Sb 2.79
Ga  0.0000  0.0000  0.5000  4 Au 2.79, 4 Sb 3.11
Ga  0.0000  0.5000  0.1264  5 Au 2.49-2.62
Au  0.5000  0.5000  0.0000  4 Ga 2.62
Au  0.0000  0.0000  0.0000  4 Ga 2.62


Record 3
Computed, not measured: crystalline PuScGa2Au5 at its relaxed geometry at the PBE level of DFT.

## Properties
Density in g/cm3: 12.84
Total energy in Ha/atom: -0.18699
Magnetization in μB/atom: 0.64

a = 4.3446 Å, b = 4.3446 Å, c = 9.6815 Å
α = 90.00°, β = 90.00°, γ = 90.00°
Last column: nearest neighbours and their distance in Å.
Fractional positions:
Au  0.5000  0.0000  0.7347  2 Ga 2.57
Au  0.0000  0.5000  0.2653  2 Ga 2.57
Ga  0.5000  0.5000  0.8771  1 Ga 2.38, 4 Au 2.57
Au  0.5000  0.0000  0.2653  2 Ga 2.57
Pu  0.0000  0.0000  0.5000  12 Au 3.07-3.14
Sc  0.0000  0.0000  0.0000  8 Ga 3.29, 8 Au 3.36
Ga  0.5000  0.5000  0.1229  1 Ga 2.38, 4 Au 2.57
Au  0.5000  0.5000  0.5000  4 Pu 3.07, 8 Au 3.14
Au  0.0000  0.5000  0.7347  2 Ga 2.57


Record 4
Computed, not measured: crystalline PuScGaAu at its relaxed geometry at the PBE level of DFT.

## Properties
Density in g/cm3: 10.87
Total energy in Ha/atom: -0.26734
Magnetization in μB/atom: 1.42

a = 3.3642 Å, b = 3.3642 Å, c = 7.4968 Å
α = 90.00°, β = 90.00°, γ = 90.00°
Last column: nearest neighbours and their distance in Å.
Fractional positions:
Ga  0.5000  0.5000  0.5808  4 Sc 2.92, 4 Pu 3.11
Pu  0.0000  0.0000  0.8481  4 Ga 3.11, 4 Au 3.25, 4 Pu 3.36
Sc  0.0000  0.0000  0.3554  4 Au 2.86, 4 Ga 2.92
Au  0.5000  0.5000  0.1437  4 Sc 2.86


Record 5
Computed, not measured: crystalline PuScGaAu at its relaxed geometry at the PBE level of DFT.

## Properties
Density in g/cm3: 10.53
Total energy in Ha/atom: -0.26390
Magnetization in μB/atom: 1.40

a = 4.9863 Å, b = 4.9863 Å, c = 4.9863 Å
α = 60.00°, β = 60.00°, γ = 60.00°
Last column: nearest neighbours and their distance in Å.
Fractional positions:
Sc  0.2500  0.2500  0.2500  4 Au 3.05, 4 Ga 3.05
Au  0.5000  0.5000  0.5000  4 Sc 3.05, 4 Pu 3.05
Pu  0.7500  0.7500  0.7500  4 Au 3.05, 4 Ga 3.05
Ga  0.0000  0.0000  0.0000  4 Pu 3.05, 4 Sc 3.05


Record 6
Computed, not measured: crystalline Pu2Ga4SiAu3 at its relaxed geometry at the PBE level of DFT.

## Properties
Energy relative to the elements, uncorrected in eV per atom: -0.3466
Density in g/cm3: 11.40
Total energy in Ha/atom: -0.21863
Magnetization in μB/atom: 1.10

a = 4.3082 Å, b = 4.3082 Å, c = 10.8806 Å
α = 90.00°, β = 90.00°, γ = 90.00°
Last column: nearest neighbours and their distance in Å.
Fractional positions:
Pu  0.5000  0.0000  0.2601  8 Ga 3.25-3.56, 6 Au 3.33-3.38, 2 Si 3.38
Ga  0.0000  0.5000  0.3654  3 Au 2.49-2.60, 2 Si 2.60
Si  0.5000  0.5000  0.5000  4 Ga 2.60
Pu  0.0000  0.5000  0.7399  8 Ga 3.25-3.56, 6 Au 3.33-3.38, 2 Si 3.38
Au  0.0000  0.5000  0.1364  5 Ga 2.49-2.62
Au  0.5000  0.0000  0.8636  5 Ga 2.49-2.62
Ga  0.5000  0.0000  0.6346  3 Au 2.49-2.60, 2 Si 2.60
Ga  0.5000  0.5000  0.0000  4 Au 2.62
Au  0.0000  0.0000  0.5000  4 Ga 2.60
Ga  0.0000  0.0000  0.0000  4 Au 2.62


Record 7
Computed, not measured: crystalline Pu2GaSi3Au4 at its relaxed geometry at the PBE level of DFT.

## Properties
Energy relative to the elements, uncorrected in eV per atom: -0.3739
Density in g/cm3: 12.17
Total energy in Ha/atom: -0.23816
Magnetization in μB/atom: 1.07

a = 4.2973 Å, b = 4.2973 Å, c = 10.5624 Å
α = 90.00°, β = 90.00°, γ = 90.00°
Last column: nearest neighbours and their distance in Å.
Fractional positions:
Au  0.0000  0.5000  0.3657  3 Si 2.42-2.57, 2 Ga 2.57
Pu  0.5000  0.0000  0.2449  6 Si 3.25-3.45, 8 Au 3.30-3.36, 2 Ga 3.45
Si  0.0000  0.5000  0.1367  5 Au 2.42-2.59
Au  0.5000  0.0000  0.6343  3 Si 2.42-2.57, 2 Ga 2.57
Au  0.0000  0.0000  0.0000  4 Si 2.59
Au  0.5000  0.5000  0.0000  4 Si 2.59
Si  0.5000  0.0000  0.8633  5 Au 2.42-2.59
Pu  0.0000  0.5000  0.7551  6 Si 3.25-3.45, 8 Au 3.30-3.36, 2 Ga 3.45
Ga  0.5000  0.5000  0.5000  4 Au 2.57
Si  0.0000  0.0000  0.5000  4 Au 2.57


Record 8
Computed, not measured: crystalline SmPuGaAu at its relaxed geometry at the PBE level of DFT.

## Properties
Density in g/cm3: 11.20
Total energy in Ha/atom: -0.24945
Magnetization in μB/atom: 1.42

a = 5.1757 Å, b = 5.1757 Å, c = 5.1757 Å
α = 60.00°, β = 60.00°, γ = 60.00°
Last column: nearest neighbours and their distance in Å.
Fractional positions:
Pu  0.0000  0.0000  0.0000  4 Au 3.17, 4 Ga 3.17
Au  0.7500  0.7500  0.7500  4 Pu 3.17, 4 Sm 3.17
Sm  0.5000  0.5000  0.5000  4 Ga 3.17, 4 Au 3.17
Ga  0.2500  0.2500  0.2500  4 Pu 3.17, 4 Sm 3.17